Computed, not measured: Ac2TmVO6 after structural relaxation at the PBE with a Hubbard U level of DFT.

abc: 5.8370 5.9239 10.1629
angles: 90.00 124.71 90.00
Fractional positions:
1 Ac 0.2400 0.0414 0.2495
2 Ac 0.2400 0.4586 0.7495
3 Ac 0.7600 0.5414 0.2505
4 Ac 0.7600 0.9586 0.7505
5 Tm 0.5000 0.0000 0.0000
6 Tm 0.5000 0.5000 0.5000
7 V 0.0000 0.0000 0.5000
8 V 0.0000 0.5000 0.0000
9 O 0.1516 0.2173 0.9534
10 O 0.1516 0.2827 0.4534
11 O 0.2368 0.7011 0.9547
12 O 0.2368 0.7989 0.4547
13 O 0.3291 0.0251 0.7426
14 O 0.3291 0.4749 0.2426
15 O 0.6709 0.5251 0.7574
16 O 0.6709 0.9749 0.2574
17 O 0.7632 0.2011 0.5453
18 O 0.7632 0.2989 0.0453
19 O 0.8484 0.7173 0.5466
20 O 0.8484 0.7827 0.0466

**Final energy**: -81.36 eV/f.u.
**Magnetic moment**: 0.200 μB/atom